1.
Here is a relaxed MgGeRhC2 crystal from Alexandria via LeMat-Bulk. Energies are from PBE.

a = 3.9501 Å, b = 3.9501 Å, c = 4.7867 Å
α = 90.00°, β = 90.00°, γ = 90.00°
Last column: nearest neighbours and their distance in Å.
Fractional coordinates of all 5 atoms:
Mg  0.0000  0.0000  0.0000  4 Rh 2.79, 8 C 3.10
Ge  0.5000  0.5000  0.5000  4 C 1.98
Rh  0.5000  0.5000  0.0000  2 Ge 2.39
C  0.0000  0.5000  0.5000  2 Ge 1.98
C  0.5000  0.0000  0.5000  2 Ge 1.98

Values from the calculation:
crystal system	tetragonal
ΔH_f (0 K)	1641	meV per atom
total magnetic moment	0.00	μB per cell


2.
Here is a relaxed Dy3IrPt2 crystal from Alexandria via LeMat-Bulk. Energies are from PBE.

a = 7.7840 Å, b = 7.7840 Å, c = 6.9030 Å
α = 90.00°, β = 90.00°, γ = 143.16°
Last column: nearest neighbours and their distance in Å.
Fractional coordinates of all 12 atoms:
Dy  0.0000  0.0000  0.2469  6 Pt 2.99-3.02, 2 Ir 3.00
Dy  0.0000  0.0000  0.7531  6 Pt 2.99-3.02, 2 Ir 3.00
Dy  0.3316  0.6684  0.2457  3 Ir 2.96-2.99, 5 Pt 3.01-3.04
Dy  0.3316  0.6684  0.7543  3 Ir 2.96-2.99, 5 Pt 3.01-3.04
Dy  0.6684  0.3316  0.2457  3 Ir 2.96-2.99, 5 Pt 3.01-3.04
Dy  0.6684  0.3316  0.7543  3 Ir 2.96-2.99, 5 Pt 3.01-3.04
Ir  0.1670  0.8330  0.0000  8 Dy 2.96-3.00
Ir  0.8330  0.1670  0.0000  8 Dy 2.96-3.00
Pt  0.1660  0.8340  0.5000  8 Dy 3.01-3.02
Pt  0.5000  0.5000  0.0000  8 Dy 2.99-3.01
Pt  0.5000  0.5000  0.5000  8 Dy 3.02-3.04
Pt  0.8340  0.1660  0.5000  8 Dy 3.01-3.02

Values from the calculation:
crystal system	orthorhombic
ΔH_f (0 K)	-1100	meV per atom
total magnetic moment	0.00	μB per cell


3.
Here is a relaxed Cs2AuI crystal from Alexandria via LeMat-Bulk. Energies are from PBE.

a = 9.3889 Å, b = 9.3889 Å, c = 9.3889 Å
α = 33.37°, β = 33.37°, γ = 33.37°
Last column: nearest neighbours and their distance in Å.
Fractional coordinates of all 4 atoms:
Cs  0.2460  0.2460  0.2460  3 Au 3.76, 3 I 3.88
Cs  0.7540  0.7540  0.7540  3 Au 3.76, 3 I 3.88
Au  0.5000  0.5000  0.5000  6 Cs 3.76
I  0.0000  0.0000  0.0000  6 Cs 3.88

Values from the calculation:
crystal system	trigonal
formation energy without anion corrections	-0.931	eV/atom
total magnetic moment	0.00	μB per cell


4.
Here is a relaxed AcPm4Si2 crystal from Alexandria via LeMat-Bulk. Energies are from PBE.

a = 8.5746 Å, b = 8.5746 Å, c = 8.5746 Å
α = 36.59°, β = 36.59°, γ = 36.59°
Last column: nearest neighbours and their distance in Å.
Fractional coordinates of all 7 atoms:
Ac  0.0000  0.0000  0.0000  6 Si 3.39, 8 Pm 3.63-3.72
Pm  0.1554  0.1554  0.1554  1 Si 2.92, 3 Pm 3.15
Pm  0.4116  0.4116  0.4116  4 Si 3.15-3.22
Pm  0.5884  0.5884  0.5884  4 Si 3.15-3.22
Pm  0.8446  0.8446  0.8446  1 Si 2.92, 3 Pm 3.15
Si  0.2771  0.2771  0.2771  5 Pm 2.92-3.22
Si  0.7229  0.7229  0.7229  5 Pm 2.92-3.22

Values from the calculation:
crystal system	trigonal
formation energy without anion corrections	-0.259	eV/atom
total magnetic moment	0.00	μB per cell


5.
Here is a relaxed LiMn2Al crystal from Alexandria via LeMat-Bulk. Energies are from PBE.

a = 2.5295 Å, b = 4.2235 Å, c = 4.6956 Å
α = 90.00°, β = 98.98°, γ = 90.00°
Last column: nearest neighbours and their distance in Å.
Fractional coordinates of all 4 atoms:
Li  0.0000  0.0000  0.0000  2 Al 2.49, 4 Mn 2.51, 2 Li 2.53
Mn  0.2184  0.5000  0.7529  5 Mn 2.46-2.72, 2 Li 2.51, 2 Al 2.58
Mn  0.7816  0.5000  0.2471  5 Mn 2.46-2.72, 2 Li 2.51, 2 Al 2.58
Al  0.5000  0.0000  0.5000  2 Li 2.49, 2 Al 2.53, 4 Mn 2.58

Values from the calculation:
crystal system	monoclinic
ΔH_f (0 K)	151	meV per atom
total magnetic moment	3.36	μB per cell


6.
Here is a relaxed Li3SnPd3 crystal from Alexandria via LeMat-Bulk. Energies are from PBE.

a = 7.2281 Å, b = 7.2281 Å, c = 7.2281 Å
α = 54.49°, β = 54.49°, γ = 54.49°
Last column: nearest neighbours and their distance in Å.
Fractional coordinates of all 14 atoms:
Li  0.0614  0.2337  0.5818  4 Pd 2.57-2.74, 2 Li 2.70
Li  0.2337  0.5818  0.0614  4 Pd 2.57-2.74, 2 Li 2.70
Li  0.4182  0.9386  0.7663  4 Pd 2.57-2.74, 2 Li 2.70
Li  0.5818  0.0614  0.2337  4 Pd 2.57-2.74, 2 Li 2.70
Li  0.7663  0.4182  0.9386  4 Pd 2.57-2.74, 2 Li 2.70
Li  0.9386  0.7663  0.4182  4 Pd 2.57-2.74, 2 Li 2.70
Sn  0.1604  0.1604  0.1604  6 Pd 2.73-2.90, 3 Li 3.00
Sn  0.8396  0.8396  0.8396  6 Pd 2.73-2.90, 3 Li 3.00
Pd  0.1997  0.4280  0.6836  4 Li 2.57-2.74, 1 Sn 2.73, 4 Pd 2.77-2.82
Pd  0.3164  0.8003  0.5720  4 Li 2.57-2.74, 1 Sn 2.73, 4 Pd 2.77-2.82
Pd  0.4280  0.6836  0.1997  4 Li 2.57-2.74, 1 Sn 2.73, 4 Pd 2.77-2.82
Pd  0.5720  0.3164  0.8003  4 Li 2.57-2.74, 1 Sn 2.73, 4 Pd 2.77-2.82
Pd  0.6836  0.1997  0.4280  4 Li 2.57-2.74, 1 Sn 2.73, 4 Pd 2.77-2.82
Pd  0.8003  0.5720  0.3164  4 Li 2.57-2.74, 1 Sn 2.73, 4 Pd 2.77-2.82

Values from the calculation:
crystal system	trigonal
ΔH_f (0 K)	-350	meV per atom
total magnetic moment	0.00	μB per cell


Question: Look up the total magnetic moment of the second one.
Answer: 0.00 μB per cell


Copy entry 5 word for word.
Here is a relaxed LiMn2Al crystal from Alexandria via LeMat-Bulk. Energies are from PBE.

a = 2.5295 Å, b = 4.2235 Å, c = 4.6956 Å
α = 90.00°, β = 98.98°, γ = 90.00°
Last column: nearest neighbours and their distance in Å.
Fractional coordinates of all 4 atoms:
Li  0.0000  0.0000  0.0000  2 Al 2.49, 4 Mn 2.51, 2 Li 2.53
Mn  0.2184  0.5000  0.7529  5 Mn 2.46-2.72, 2 Li 2.51, 2 Al 2.58
Mn  0.7816  0.5000  0.2471  5 Mn 2.46-2.72, 2 Li 2.51, 2 Al 2.58
Al  0.5000  0.0000  0.5000  2 Li 2.49, 2 Al 2.53, 4 Mn 2.58

Values from the calculation:
crystal system	monoclinic
ΔH_f (0 K)	151	meV per atom
total magnetic moment	3.36	μB per cell